Entry from Alexandria: crystalline MgGePbSe4 at its relaxed geometry (PBE).

Calculated values
* space-group type: No. 11
* magnetic moment: 0.00 Bohr magnetons per cell
* density: 5.4 Mg/m³
* E_tot: -3.9251 eV/atom

a b c (Å): 6.565 7.374 8.106
angles (deg): 90.00 103.17 90.00
Fractional coordinates of all 14 atoms:
Mg: 0.210 0.250 0.366
Mg: 0.790 0.750 0.634
Ge: 0.277 0.750 0.676
Ge: 0.723 0.250 0.324
Pb: 0.304 0.250 0.962
Pb: 0.696 0.750 0.038
Se: 0.023 0.750 0.418
Se: 0.110 0.750 0.909
Se: 0.470 0.007 0.268
Se: 0.470 0.493 0.268
Se: 0.530 0.507 0.732
Se: 0.530 0.993 0.732
Se: 0.890 0.250 0.091
Se: 0.977 0.250 0.582